No. 1
BaP2Pb4: relaxed, PBE-GGA.

Uncorrected energy (eV per atom): -4.182
Calculated volume (A^3/atom): 32.3
Energy of formation from the pure elements (meV per atom): -243

```
data_BaP2Pb4
_chemical_formula_sum 'Ba1 P2 Pb4'
_space_group_name_H-M_alt 'P 1'
_space_group_IT_number 1
_cell_length_a 4.207
_cell_length_b 4.202
_cell_length_c 14.962
_cell_angle_alpha 98.09
_cell_angle_beta 90.00
_cell_angle_gamma 59.96
loop_
_space_group_symop_operation_xyz
'x,y,z'
loop_
_atom_site_label
_atom_site_fract_x
_atom_site_fract_y
_atom_site_fract_z
Ba1 0.000 0.000 0.000
P1 0.714 0.572 0.858
P2 0.286 0.428 0.142
Pb1 0.412 0.175 0.762
Pb2 0.143 0.715 0.572
Pb3 0.588 0.825 0.238
Pb4 0.857 0.285 0.428
```

***

No. 2
Ac4Pr3Mg: relaxed, PBE-GGA.

Uncorrected energy (eV per atom): -3.981
Calculated volume (A^3/atom): 39.2
Energy of formation from the pure elements (meV per atom): 64

```
data_Ac4Pr3Mg
_chemical_formula_sum 'Ac4 Pr3 Mg1'
_space_group_name_H-M_alt 'P 1'
_space_group_IT_number 1
_cell_length_a 4.401
_cell_length_b 4.401
_cell_length_c 16.177
_cell_angle_alpha 90.00
_cell_angle_beta 90.00
_cell_angle_gamma 90.00
loop_
_space_group_symop_operation_xyz
'x,y,z'
loop_
_atom_site_label
_atom_site_fract_x
_atom_site_fract_y
_atom_site_fract_z
Pr1 0.500 0.500 0.255
Pr2 0.500 0.500 0.500
Pr3 0.500 0.500 0.745
Ac1 0.000 0.000 0.883
Ac2 0.000 0.000 0.117
Ac3 0.000 0.000 0.380
Ac4 0.000 0.000 0.620
Mg1 0.500 0.500 0.000
```

***

No. 3
LiPuAgS3: relaxed, PBE-GGA.

Uncorrected energy (eV per atom): -6.301
Calculated volume (A^3/atom): 21.0
Uncorrected formation energy (kcal/mol of atoms): -24.31

```
data_LiPuAgS3
_chemical_formula_sum 'Li2 Pu2 Ag2 S6'
_space_group_name_H-M_alt 'P 1'
_space_group_IT_number 1
_cell_length_a 4.023
_cell_length_b 9.894
_cell_length_c 6.351
_cell_angle_alpha 95.20
_cell_angle_beta 90.00
_cell_angle_gamma 90.00
loop_
_space_group_symop_operation_xyz
'x,y,z'
loop_
_atom_site_label
_atom_site_fract_x
_atom_site_fract_y
_atom_site_fract_z
Li1 0.250 0.000 0.752
Li2 0.750 0.000 0.248
Pu1 0.250 0.679 0.070
Pu2 0.750 0.321 0.930
Ag1 0.250 0.273 0.475
Ag2 0.750 0.727 0.525
S1 0.750 0.822 0.908
S2 0.250 0.178 0.092
S3 0.250 0.862 0.390
S4 0.750 0.138 0.610
S5 0.750 0.533 0.232
S6 0.250 0.467 0.768
```

***

No. 4
Mn2NiTe3: relaxed, PBE-GGA.

Uncorrected energy (eV per atom): -5.646
Calculated volume (A^3/atom): 28.1
Uncorrected formation energy (kcal/mol of atoms): -1.27

```
data_Mn2NiTe3
_chemical_formula_sum 'Mn2 Ni1 Te3'
_space_group_name_H-M_alt 'P 1'
_space_group_IT_number 1
_cell_length_a 4.345
_cell_length_b 6.051
_cell_length_c 7.407
_cell_angle_alpha 114.11
_cell_angle_beta 107.06
_cell_angle_gamma 90.00
loop_
_space_group_symop_operation_xyz
'x,y,z'
loop_
_atom_site_label
_atom_site_fract_x
_atom_site_fract_y
_atom_site_fract_z
Mn1 0.165 0.918 0.329
Mn2 0.835 0.588 0.671
Ni1 0.500 0.235 0.000
Te1 0.000 0.025 0.000
Te2 0.657 0.645 0.314
Te3 0.343 0.332 0.686
```

***

No. 5
CaSc2Mn: relaxed, PBE-GGA.

Uncorrected energy (eV per atom): -5.715
Calculated volume (A^3/atom): 23.9
Energy of formation from the pure elements (meV per atom): 244
Polymorph energy (0 for the lowest one) (meV/atom): 130.0

```
data_CaSc2Mn
_chemical_formula_sum 'Ca1 Sc2 Mn1'
_space_group_name_H-M_alt 'P 1'
_space_group_IT_number 1
_cell_length_a 5.948
_cell_length_b 5.948
_cell_length_c 5.483
_cell_angle_alpha 62.56
_cell_angle_beta 62.56
_cell_angle_gamma 34.25
loop_
_space_group_symop_operation_xyz
'x,y,z'
loop_
_atom_site_label
_atom_site_fract_x
_atom_site_fract_y
_atom_site_fract_z
Sc1 0.948 0.948 0.052
Sc2 0.552 0.552 0.448
Ca1 0.750 0.750 0.750
Mn1 0.250 0.250 0.250
```

***

No. 6
ReP2Se: relaxed, PBE-GGA.

Uncorrected energy (eV per atom): -5.901
Calculated volume (A^3/atom): 15.0
Uncorrected formation energy (kcal/mol of atoms): 18.15

```
data_ReP2Se
_chemical_formula_sum 'Re1 P2 Se1'
_space_group_name_H-M_alt 'P 1'
_space_group_IT_number 1
_cell_length_a 4.495
_cell_length_b 4.495
_cell_length_c 3.058
_cell_angle_alpha 90.00
_cell_angle_beta 90.00
_cell_angle_gamma 104.21
loop_
_space_group_symop_operation_xyz
'x,y,z'
loop_
_atom_site_label
_atom_site_fract_x
_atom_site_fract_y
_atom_site_fract_z
P1 0.000 0.000 0.000
P2 0.500 0.500 0.000
Re1 0.500 0.000 0.500
Se1 0.000 0.500 0.500
```

***

No. 7
PrThNiRu: relaxed, PBE-GGA.

Uncorrected energy (eV per atom): -7.054
Calculated volume (A^3/atom): 22.0
Energy of formation from the pure elements (meV per atom): -240
Polymorph energy (0 for the lowest one) (meV/atom): 153.7

```
data_PrThNiRu
_chemical_formula_sum 'Pr1 Th1 Ni1 Ru1'
_space_group_name_H-M_alt 'P 1'
_space_group_IT_number 1
_cell_length_a 4.990
_cell_length_b 4.990
_cell_length_c 4.990
_cell_angle_alpha 60.00
_cell_angle_beta 60.00
_cell_angle_gamma 60.00
loop_
_space_group_symop_operation_xyz
'x,y,z'
loop_
_atom_site_label
_atom_site_fract_x
_atom_site_fract_y
_atom_site_fract_z
Pr1 0.000 0.000 0.000
Ru1 0.750 0.750 0.750
Th1 0.500 0.500 0.500
Ni1 0.250 0.250 0.250
```

***

No. 8
SrTa2Mo: relaxed, PBE-GGA.

Uncorrected energy (eV per atom): -8.548
Calculated volume (A^3/atom): 22.8
Energy of formation from the pure elements (meV per atom): 507
Polymorph energy (0 for the lowest one) (meV/atom): 0.0

```
data_SrTa2Mo
_chemical_formula_sum 'Sr1 Ta2 Mo1'
_space_group_name_H-M_alt 'P 1'
_space_group_IT_number 1
_cell_length_a 3.296
_cell_length_b 3.296
_cell_length_c 8.401
_cell_angle_alpha 90.00
_cell_angle_beta 90.00
_cell_angle_gamma 90.00
loop_
_space_group_symop_operation_xyz
'x,y,z'
loop_
_atom_site_label
_atom_site_fract_x
_atom_site_fract_y
_atom_site_fract_z
Mo1 0.500 0.500 0.250
Sr1 0.500 0.500 0.750
Ta1 0.000 0.000 0.078
Ta2 0.000 0.000 0.422
```